# 1
First-principles (PBE) data for a relaxed structure of Cs3GeO3, as listed in Alexandria.

Output
**Raw formation energy**: -127.9 kJ/mol of atoms
**Symmetry**: Cmcm (63)
**Energy above the lowest structure with this stoichiometry**: 73 meV/atom
**Crystal system**: orthorhombic

The structure in POSCAR format:
```
Cs3GeO3
1.0
6.144 0.000 0.000
0.000 9.047 -0.006
0.000 -4.513 7.841
Cs Ge O
6 2 6
Cartesian
1.536 2.171 6.469
1.536 0.000 2.728
1.536 -2.155 6.480
4.608 2.362 1.365
4.608 4.534 5.106
4.608 6.689 1.355
4.608 0.005 5.226
1.536 4.529 2.609
4.608 1.525 6.098
4.608 0.001 3.474
4.608 -1.510 6.106
1.536 3.009 1.736
1.536 4.533 4.361
1.536 6.044 1.729
```

# 2
First-principles (PBE) data for a relaxed structure of Rb2NpHg2I6, as listed in Alexandria.

Output
**Raw formation energy**: -85.6 kJ/mol of atoms
**Symmetry**: C2/m (12)
**Crystal system**: monoclinic

The structure in POSCAR format:
```
Rb2NpHg2I6
1.0
8.482 0.000 0.000
-4.241 9.600 0.093
0.000 -5.416 6.787
Rb Np Hg I
2 1 2 6
Cartesian
4.241 3.747 1.680
0.000 0.437 5.200
4.241 -2.708 3.393
4.241 3.557 5.404
0.000 0.626 1.476
4.241 0.301 3.387
-2.118 6.868 1.335
2.124 -2.684 5.545
6.359 -2.684 5.545
2.118 6.868 1.335
0.000 3.883 3.493
```

# 3
First-principles (PBE) data for a relaxed structure of Ce2HoSnN, as listed in Alexandria.

Output
**Raw formation energy**: -93.8 kJ/mol of atoms
**Symmetry**: P4/mmm (123)
**Crystal system**: tetragonal

The structure in POSCAR format:
```
Ce2HoSnN
1.0
-4.132 -1.033 -2.304
-1.225 -3.090 3.581
-2.235 3.638 2.376
Ce Ho Sn N
2 1 1 1
Cartesian
-1.117 1.819 1.188
-0.612 -1.545 1.791
-2.066 -0.516 -1.152
-3.796 -0.242 1.826
0.000 0.000 0.000
```

# 4
First-principles (PBE) data for a relaxed structure of LiLa2Re, as listed in Alexandria.

Output
**Symmetry**: R3m (160)
**Crystal system**: trigonal
**Formation energy**: 0.66 eV per atom

The structure in POSCAR format:
```
LiLa2Re
1.0
-5.210 6.315 -5.962
-3.200 4.839 -8.301
-6.117 3.327 -7.355
La Li Re
2 1 1
Cartesian
-0.267 0.266 -0.397
-3.584 3.572 -5.333
-7.008 6.986 -10.429
-10.931 10.897 -16.267
```

# 5
First-principles (PBE) data for a relaxed structure of TaBPb2, as listed in Alexandria.

Output
**Symmetry**: I-42d (122)
**Crystal system**: tetragonal
**Formation energy**: 1.30 eV per atom

The structure in POSCAR format:
```
TaBPb2
1.0
7.463 0.000 0.000
0.000 7.463 0.000
3.732 3.732 2.931
Pb B Ta
4 2 2
Cartesian
5.128 1.866 0.733
2.336 5.598 0.733
5.598 6.067 2.199
9.329 8.860 2.199
3.732 3.732 0.000
3.732 7.463 1.466
0.000 0.000 0.000
7.463 3.732 1.466
```

# 6
First-principles (PBE) data for a relaxed structure of Na3LiSe2O6, as listed in Alexandria.

Output
**Raw formation energy**: -136.5 kJ/mol of atoms
**Symmetry**: P-3m1 (164)
**Crystal system**: trigonal

The structure in POSCAR format:
```
Na3LiSe2O6
1.0
5.637 0.000 0.000
-2.819 4.882 0.000
0.000 0.000 6.182
Na Li Se O
3 1 2 6
Cartesian
0.000 3.255 3.901
2.819 1.627 2.281
0.000 0.000 0.000
0.000 0.000 3.091
2.819 1.627 5.216
0.000 3.255 0.965
1.336 4.026 1.717
0.000 1.712 1.717
-1.336 4.026 1.717
2.819 3.171 4.464
1.482 0.856 4.464
4.155 0.856 4.464
```

# 7
First-principles (PBE) data for a relaxed structure of BC2, as listed in Alexandria.

Output
**Symmetry**: Cm (8)
**Energy above the lowest structure with this stoichiometry**: 84 meV/atom
**Crystal system**: monoclinic
**Formation energy**: 0.32 eV per atom

The structure in POSCAR format:
```
BC2
1.0
-2.820 -2.670 2.075
-3.518 -2.621 -0.376
7.147 -3.027 -2.096
B C
4 8
Cartesian
-1.686 -4.533 0.389
0.740 -8.175 -0.375
-4.687 -4.532 1.244
1.471 -6.168 -0.542
-0.354 -3.752 0.026
-0.654 -2.258 0.141
0.510 -1.369 -0.173
2.921 -5.334 -0.939
2.499 -3.845 -0.789
3.762 -3.049 -1.132
3.575 -1.542 -1.049
-1.462 -6.108 0.294
```

# 8
First-principles (PBE) data for a relaxed structure of NaTeCO5, as listed in Alexandria.

Output
**Raw formation energy**: -99.7 kJ/mol of atoms
**Symmetry**: C2/c (15)
**Crystal system**: monoclinic

The structure in POSCAR format:
```
NaTeCO5
1.0
-4.526 2.533 1.337
-1.233 -2.244 -4.704
0.844 -5.494 4.804
Na Te C O
2 2 2 10
Cartesian
-2.161 -1.965 -1.414
-2.754 -3.240 2.851
0.422 -2.747 2.402
0.000 0.000 0.000
-3.272 -0.353 0.625
-1.643 -4.852 0.812
-1.306 -3.207 -2.983
-3.610 -1.999 4.421
-4.267 0.624 0.368
-0.649 -5.829 1.069
-2.878 -0.460 1.983
-2.038 -4.745 -0.545
-3.736 -1.641 0.213
-1.180 -3.565 1.225
-2.141 -0.035 -0.188
-2.775 -5.170 1.625
```

# 9
First-principles (PBE) data for a relaxed structure of V4GaSn, as listed in Alexandria.

Output
**Symmetry**: Pmma (51)
**Crystal system**: orthorhombic
**Formation energy**: 0.13 eV per atom

The structure in POSCAR format:
```
V4GaSn
1.0
4.102 0.000 0.000
0.000 7.315 0.000
0.000 0.000 6.391
V Ga Sn
8 2 2
Cartesian
2.051 5.486 0.068
2.051 1.829 6.323
2.051 3.375 1.829
2.051 3.940 4.562
0.000 0.000 0.000
2.051 0.282 1.829
2.051 7.033 4.562
0.000 3.658 0.000
0.000 1.829 1.680
0.000 5.486 4.711
0.000 5.486 2.101
0.000 1.829 4.290
```

# 10
First-principles (PBE) data for a relaxed structure of TlCdPb5, as listed in Alexandria.

Output
**Symmetry**: P4/mmm (123)
**Crystal system**: tetragonal
**Formation energy**: 0.04 eV per atom

The structure in POSCAR format:
```
TlCdPb5
1.0
-0.677 -3.951 3.094
4.921 -1.134 -0.371
1.677 5.049 6.814
Tl Cd Pb
1 1 5
Cartesian
0.000 0.000 0.000
0.838 2.525 3.407
2.122 -2.542 1.362
0.133 -0.556 3.463
2.932 0.853 1.731
0.867 1.654 6.445
3.666 3.062 4.713
```

# 11
First-principles (PBE) data for a relaxed structure of Ba2SbRu, as listed in Alexandria.

Output
**Raw formation energy**: 13.3 kJ/mol of atoms
**Symmetry**: Pmmm (47)
**Crystal system**: orthorhombic

The structure in POSCAR format:
```
Ba2SbRu
1.0
-3.778 -2.558 0.139
1.642 -2.556 -2.407
4.279 -6.145 3.204
Ba Ru Sb
2 1 1
Cartesian
1.674 -2.599 -2.337
2.929 -4.307 0.328
-0.409 -3.454 0.269
2.552 -7.805 0.667
```

# 12
First-principles (PBE) data for a relaxed structure of Cu2SiO, as listed in Alexandria.

Output
**Raw formation energy**: -7.0 kJ/mol of atoms
**Symmetry**: I-42d (122)
**Energy above the lowest structure with this stoichiometry**: 0 meV/atom
**Crystal system**: tetragonal

The structure in POSCAR format:
```
Cu2SiO
1.0
5.369 0.000 0.000
0.000 5.369 0.000
2.684 2.684 3.815
Si O Cu
2 2 4
Cartesian
0.000 0.000 0.000
5.369 2.684 1.908
2.684 2.684 0.000
2.684 5.369 1.908
3.746 1.342 0.954
1.623 4.027 0.954
4.027 4.307 2.861
6.711 6.431 2.861
```

# 13
First-principles (PBE) data for a relaxed structure of Ti2FeMoRh, as listed in Alexandria.

Output
**Symmetry**: P4/mmm (123)
**Crystal system**: tetragonal
**Formation energy**: 0.65 eV per atom

The structure in POSCAR format:
```
Ti2FeMoRh
1.0
-2.082 -3.379 1.736
3.064 -0.177 3.330
-2.417 2.705 2.367
Mo Rh Fe Ti
1 1 1 2
Cartesian
-0.718 -0.425 3.717
1.532 -0.089 1.665
0.000 0.000 0.000
-1.208 1.353 1.184
-1.041 -1.689 0.868
```

# 14
First-principles (PBE) data for a relaxed structure of GdAg6, as listed in Alexandria.

Output
**Symmetry**: Im-3m (229)
**Crystal system**: cubic
**Formation energy**: 0.56 eV per atom

The structure in POSCAR format:
```
GdAg6
1.0
-6.142 0.018 1.707
0.612 -2.776 -5.705
3.395 -3.240 4.314
Gd Ag
1 6
Cartesian
0.000 0.000 0.000
0.621 -3.698 -1.695
-1.763 -2.883 -2.347
1.317 -3.813 0.810
-2.756 -2.300 2.011
-0.372 -3.115 2.663
-3.452 -2.185 -0.494
```

# 15
First-principles (PBE) data for a relaxed structure of BaAc2Pr3Te6, as listed in Alexandria.

Output
**Raw formation energy**: -145.1 kJ/mol of atoms
**Symmetry**: C2/m (12)
**Crystal system**: monoclinic

The structure in POSCAR format:
```
BaAc2Pr3Te6
1.0
4.629 0.000 0.000
0.000 9.403 0.315
-2.314 -2.732 9.803
Ba Ac Pr Te
1 2 3 6
Cartesian
2.314 0.000 0.000
2.314 4.434 6.710
0.000 2.237 3.408
2.314 4.701 0.157
2.314 -0.202 6.633
0.000 6.872 3.485
0.000 6.891 6.715
2.314 4.639 3.381
2.314 -0.220 3.403
2.314 -0.250 9.874
0.000 6.921 0.244
0.000 2.032 6.737
```

# 16
First-principles (PBE) data for a relaxed structure of ThCu2Au, as listed in Alexandria.

Output
**Symmetry**: R-3m (166)
**Energy above the lowest structure with this stoichiometry**: 100 meV/atom
**Crystal system**: trigonal
**Formation energy**: -0.26 eV per atom

The structure in POSCAR format:
```
ThCu2Au
1.0
4.479 0.000 0.000
2.240 3.879 0.000
2.240 1.293 4.452
Au Cu Th
1 2 1
Cartesian
4.479 2.586 2.226
6.719 3.879 2.927
2.240 1.293 1.526
0.000 0.000 0.000
```

# 17
First-principles (PBE) data for a relaxed structure of Zn6SbAs2P, as listed in Alexandria.

Output
**Raw formation energy**: -1.4 kJ/mol of atoms
**Symmetry**: P1 (1)
**Crystal system**: triclinic

The structure in POSCAR format:
```
Zn6SbAs2P
1.0
-0.282 -5.181 3.928
3.621 -5.253 -1.279
5.119 -1.442 3.861
Zn Sb As P
6 1 2 1
Cartesian
1.753 -4.756 3.497
4.556 -5.899 0.525
3.577 -8.584 3.661
6.111 -6.878 3.651
4.117 -5.398 5.322
5.279 -4.105 2.887
1.804 -3.126 1.397
3.595 -6.260 2.785
4.476 -1.767 3.382
5.970 -9.097 4.606
```

# 18
First-principles (PBE) data for a relaxed structure of Ba4Zn4Ga, as listed in Alexandria.

Output
**Symmetry**: P4_2/n (86)
**Crystal system**: tetragonal
**Formation energy**: -0.15 eV per atom

The structure in POSCAR format:
```
Ba4Zn4Ga
1.0
-4.801 1.974 -4.445
-4.578 -8.196 1.305
-4.955 3.894 7.079
Ba Zn Ga
8 8 2
Cartesian
-3.816 -3.412 1.545
-6.497 -6.535 3.054
-6.759 -5.389 -1.407
-8.355 -2.585 1.561
-10.517 1.085 2.394
-7.835 4.207 0.884
-7.574 3.061 5.346
-5.978 0.257 2.378
-5.998 -2.956 4.081
-9.291 -3.089 7.578
-5.740 -2.185 -1.107
-4.816 2.414 -0.063
-8.335 0.629 -0.142
-5.042 0.761 -3.640
-8.592 -0.143 5.046
-9.516 -4.742 4.002
-5.983 0.405 -1.238
-8.349 -2.733 5.177
```

# 19
First-principles (PBE) data for a relaxed structure of Ba2AcBiO6, as listed in Alexandria.

Output
**Raw formation energy**: -224.4 kJ/mol of atoms
**Symmetry**: P2_1/c (14)
**Crystal system**: monoclinic

The structure in POSCAR format:
```
Ba2AcBiO6
1.0
6.346 0.000 -0.049
0.000 6.391 0.000
-0.016 0.000 8.996
Ba Ac Bi O
4 2 2 12
Cartesian
0.059 6.197 2.242
3.225 3.390 6.716
6.271 0.194 6.705
3.106 3.002 2.232
3.173 0.000 -0.025
-0.008 3.196 4.498
3.165 0.000 4.474
0.000 3.196 0.000
1.685 4.494 0.371
4.850 5.093 4.845
4.646 1.897 8.576
1.481 1.298 4.103
1.905 4.680 4.059
5.070 4.907 8.533
4.426 1.712 4.888
1.261 1.484 0.415
5.822 3.353 2.046
2.641 6.233 6.569
0.509 3.038 6.901
3.689 0.158 2.379
```

# 20
First-principles (PBE) data for a relaxed structure of In2SiSb, as listed in Alexandria.

Output
**Raw formation energy**: 30.5 kJ/mol of atoms
**Symmetry**: P2/m (10)
**Energy above the lowest structure with this stoichiometry**: 152 meV/atom
**Crystal system**: monoclinic

The structure in POSCAR format:
```
In2SiSb
1.0
4.947 0.000 0.000
0.000 3.219 0.059
0.000 1.943 6.181
In Sb Si
2 1 1
Cartesian
0.000 4.759 6.136
0.000 2.984 3.224
2.473 1.290 1.560
2.473 3.871 4.680
```

# 21
First-principles (PBE) data for a relaxed structure of Y2TaZnAu, as listed in Alexandria.

Output
**Symmetry**: P4/mmm (123)
**Energy above the lowest structure with this stoichiometry**: 0 meV/atom
**Crystal system**: tetragonal
**Formation energy**: 0.63 eV per atom

The structure in POSCAR format:
```
Y2TaZnAu
1.0
5.483 0.000 0.000
0.000 4.709 0.000
0.000 0.000 5.483
Y Zn Au Ta
2 1 1 1
Cartesian
0.000 0.000 2.741
2.741 0.000 0.000
0.000 2.355 0.000
0.000 0.000 0.000
2.741 2.355 2.741
```

# 22
First-principles (PBE) data for a relaxed structure of VCuSb, as listed in Alexandria.

Output
**Raw formation energy**: 25.1 kJ/mol of atoms
**Symmetry**: I4mm (107)
**Energy above the lowest structure with this stoichiometry**: 331 meV/atom
**Crystal system**: tetragonal

The structure in POSCAR format:
```
VCuSb
1.0
3.473 0.000 0.000
0.000 3.473 0.000
-1.737 -1.737 4.264
Sb Cu V
1 1 1
Cartesian
1.737 1.737 1.001
1.737 1.737 3.801
0.000 0.000 2.446
```

# 23
First-principles (PBE) data for a relaxed structure of Be3TeMo, as listed in Alexandria.

Output
**Raw formation energy**: 181.6 kJ/mol of atoms
**Symmetry**: Pm-3m (221)
**Energy above the lowest structure with this stoichiometry**: 647 meV/atom
**Crystal system**: cubic

The structure in POSCAR format:
```
Be3TeMo
1.0
4.462 0.000 0.000
0.000 4.462 0.000
0.000 0.000 4.462
Be Mo Te
3 1 1
Cartesian
0.000 2.231 0.000
0.000 0.000 2.231
2.231 0.000 0.000
2.231 2.231 2.231
0.000 0.000 0.000
```

# 24
First-principles (PBE) data for a relaxed structure of Zr2ScSe, as listed in Alexandria.

Output
**Raw formation energy**: -41.0 kJ/mol of atoms
**Symmetry**: C2/m (12)
**Crystal system**: monoclinic

The structure in POSCAR format:
```
Zr2ScSe
1.0
5.504 -0.001 -0.013
4.506 3.159 -0.013
1.276 0.403 4.939
Sc Se Zr
1 1 2
Cartesian
8.464 2.671 3.685
2.821 0.890 1.228
9.804 3.093 0.076
5.848 1.845 2.354
```